Here is crystalline Th2AlBIr6 at its relaxed geometry from the Alexandria database. Energies are from PBE.

Cell: 5.6996 7.2560 8.6156 Å, 90.00 90.00 90.00°
Sites, in units of the cell vectors:
Th 0.5000 0.7041 0.2828
Th 0.0000 0.2959 0.7828
Th 0.5000 0.7041 0.7172
Th 0.0000 0.2959 0.2172
Al 0.0000 0.6802 0.5000
Al 0.5000 0.3198 0.0000
B 0.5000 0.1884 0.5000
B 0.0000 0.8116 0.0000
Ir 0.5000 0.1309 0.2538
Ir 0.5000 0.1309 0.7462
Ir 0.0000 0.8691 0.2462
Ir 0.0000 0.8691 0.7538
Ir 0.2333 0.9907 0.5000
Ir 0.7667 0.9907 0.5000
Ir 0.2546 0.4052 0.5000
Ir 0.7454 0.4052 0.5000
Ir 0.7546 0.5948 0.0000
Ir 0.2454 0.5948 0.0000
Ir 0.2667 0.0093 0.0000
Ir 0.7333 0.0093 0.0000

Values from the calculation:
* magnetization: 0.000 μB per atom
* E: -8.50 eV/atom
* space-group type: Pmmn
* D(E_F): 0.666 states/eV/atom
* formation enthalpy at 0 K: -0.659 eV per atom